(1)
VASP calculation (PBE-GGA) on HfH2Pd2 after structural relaxation.

Unit cell a=6.8321 b=6.8321 c=2.9148 alpha=90.00 beta=90.00 gamma=90.00
With the nearest neighbours (Å) after each atom.
Sites, in units of the cell vectors:
H (0.2554, 0.7554, 0.5000)  2 Pd 1.77
H (0.7554, 0.7446, 0.5000)  2 Pd 1.77
H (0.7446, 0.2446, 0.5000)  2 Pd 1.77
H (0.2446, 0.2554, 0.5000)  2 Pd 1.77
Hf (0.0000, 0.0000, 0.0000)  4 Pd 2.64, 8 H 2.82, 2 Hf 2.91
Hf (0.5000, 0.5000, 0.0000)  4 Pd 2.64, 8 H 2.82, 2 Hf 2.91
Pd (0.3601, 0.8601, 0.0000)  2 H 1.77
Pd (0.8601, 0.6399, 0.0000)  2 H 1.77
Pd (0.6399, 0.1399, 0.0000)  2 H 1.77
Pd (0.1399, 0.3601, 0.0000)  2 H 1.77

Results
The value obtained for the total moment is 0.0 μB per formula unit. The energy above the most stable polymorph in this dataset is 448 meV/atom. As for the density of states at the Fermi level: 4.95 states/eV/cell.


(2)
VASP calculation (PBE-GGA) on Nd5SmDy2Ho after structural relaxation.

Unit cell a=5.6712 b=10.6152 c=10.7406 alpha=90.00 beta=90.00 gamma=105.49
With the nearest neighbours (Å) after each atom.
Sites, in units of the cell vectors:
Nd (0.3892, 0.7784, 0.0241)  6 Nd 3.55-3.92, 4 Dy 3.62-3.65, 1 Sm 3.87
Nd (0.7193, 0.4385, 0.8098)  1 Ho 3.09, 1 Dy 3.37, 2 Nd 3.44
Nd (0.4807, 0.9614, 0.7433)  2 Ho 3.24-3.38, 2 Dy 3.54, 2 Nd 3.55
Nd (0.2965, 0.5931, 0.7042)  3 Nd 3.44-3.79, 1 Ho 3.50, 3 Sm 3.52-3.83, 3 Dy 3.56-3.81
Nd (0.9839, 0.9679, 0.5204)  2 Ho 3.29, 3 Dy 3.49-3.60
Nd (0.6108, 0.2216, 0.5241)  6 Nd 3.55-3.92, 4 Dy 3.62-3.65, 1 Sm 3.87
Nd (0.2807, 0.5615, 0.3098)  1 Ho 3.09, 1 Dy 3.37, 2 Nd 3.44
Nd (0.5193, 0.0386, 0.2433)  2 Ho 3.24-3.38, 2 Dy 3.54, 2 Nd 3.55
Nd (0.7035, 0.4069, 0.2042)  3 Nd 3.44-3.79, 1 Ho 3.50, 3 Sm 3.52-3.83, 3 Dy 3.56-3.81
Nd (0.0161, 0.0321, 0.0204)  2 Ho 3.29, 3 Dy 3.49-3.60
Sm (0.7998, 0.5997, 0.5095)  2 Dy 3.44-3.70, 7 Nd 3.52-3.83, 2 Ho 3.65
Sm (0.2002, 0.4003, 0.0095)  2 Dy 3.44-3.70, 7 Nd 3.52-3.83, 2 Ho 3.65
Dy (0.8840, 0.7679, 0.8149)  9 Nd 3.37-3.77, 1 Sm 3.70
Dy (0.1110, 0.2220, 0.7380)  1 Sm 3.44, 7 Nd 3.50-3.81, 2 Ho 3.73
Dy (0.1160, 0.2321, 0.3149)  9 Nd 3.37-3.77, 1 Sm 3.70
Dy (0.8890, 0.7780, 0.2380)  1 Sm 3.44, 7 Nd 3.50-3.81, 2 Ho 3.73
Ho (0.5906, 0.1813, 0.9599)  5 Nd 3.09-3.38
Ho (0.4094, 0.8187, 0.4599)  5 Nd 3.09-3.38

Results
The value obtained for the total moment is 0.0 μB per formula unit. As for the formation energy: 14 kJ per mole of atoms. As for the density of states at the Fermi level: 28.40 states/eV/cell.


(3)
VASP calculation (PBE-GGA) on Li4CaRu after structural relaxation.

Unit cell a=5.2529 b=5.2529 c=5.2529 alpha=60.00 beta=60.00 gamma=60.00
With the nearest neighbours (Å) after each atom.
Sites, in units of the cell vectors:
Li (0.8627, 0.3791, 0.3791)  6 Li 2.54-2.71
Li (0.3791, 0.3791, 0.8627)  6 Li 2.54-2.71
Li (0.3791, 0.8627, 0.3791)  6 Li 2.54-2.71
Li (0.3791, 0.3791, 0.3791)  6 Li 2.54-2.71
Ca (0.0000, 0.0000, 0.0000)  12 Li 3.09, 4 Ru 3.22
Ru (0.7500, 0.7500, 0.7500)  12 Li 3.07, 4 Ca 3.22

Results
The value obtained for the total moment is 0.0 μB per formula unit. As for the formation energy: 22 kJ per mole of atoms. As for the density of states at the Fermi level: 1.04 states/eV/cell.